one) This record from Alexandria describes a relaxed Dy4Tm3In crystal. The functional is PBE.

total magnetic moment = 0.00 μB/f.u.
crystal system = monoclinic

```
data_Dy4Tm3In
_cell_length_a 8.244
_cell_length_b 6.969
_cell_length_c 8.282
_cell_angle_alpha 90.00
_cell_angle_beta 95.28
_cell_angle_gamma 90.00
_space_group_name_H-M_alt 'P 1 m 1'
_space_group_IT_number 6
loop_
_space_group_symop_operation_xyz
'x,y,z'
'x,-y,z'
loop_
_atom_site_label
_atom_site_type_symbol
_atom_site_fract_x
_atom_site_fract_y
_atom_site_fract_z
_atom_site_occupancy
Dy1 Dy 0.000 0.000 0.000 1
Dy2 Dy 0.061 0.500 0.410 1
Dy3 Dy 0.244 0.259 0.749 1
Dy4 Dy 0.330 0.252 0.165 1
Dy5 Dy 0.483 0.500 0.510 1
Dy6 Dy 0.583 0.000 0.898 1
Tm1 Tm 0.086 0.000 0.415 1
Tm2 Tm 0.735 0.248 0.245 1
Tm3 Tm 0.820 0.243 0.658 1
Tm4 Tm 0.976 0.500 0.994 1
In1 In 0.494 0.000 0.498 1
In2 In 0.575 0.500 0.909 1
```

two) This record from Alexandria describes a relaxed Dy4Tm3In crystal. The functional is PBE.

total magnetic moment = 0.00 μB/f.u.
crystal system = orthorhombic

```
data_Dy4Tm3In
_cell_length_a 11.106
_cell_length_b 6.972
_cell_length_c 6.118
_cell_angle_alpha 90.00
_cell_angle_beta 90.00
_cell_angle_gamma 90.00
_space_group_name_H-M_alt 'P m n 21'
_space_group_IT_number 31
loop_
_space_group_symop_operation_xyz
'x,y,z'
'-x+1/2,-y,z+1/2'
'-x,y,z'
'x+1/2,-y,z+1/2'
loop_
_atom_site_label
_atom_site_type_symbol
_atom_site_fract_x
_atom_site_fract_y
_atom_site_fract_z
_atom_site_occupancy
Dy1 Dy 0.000 0.129 0.000 1
Dy2 Dy 0.000 0.868 0.466 1
Dy3 Dy 0.237 0.872 0.824 1
Tm1 Tm 0.000 0.370 0.475 1
Tm2 Tm 0.245 0.383 0.804 1
In1 In 0.000 0.617 0.982 1
```

Least stable: two)

one) This record from Alexandria describes a relaxed Dy3Tm3In2 crystal. The functional is PBE.

total magnetic moment = 0.01 μB/f.u.
crystal system = orthorhombic

```
data_Dy3Tm3In2
_cell_length_a 4.811
_cell_length_b 4.813
_cell_length_c 9.618
_cell_angle_alpha 90.00
_cell_angle_beta 90.00
_cell_angle_gamma 90.00
_space_group_name_H-M_alt 'P m m m'
_space_group_IT_number 47
loop_
_space_group_symop_operation_xyz
'x,y,z'
'-x,-y,-z'
'-x,-y,z'
'x,y,-z'
'x,-y,-z'
'-x,y,z'
'-x,y,-z'
'x,-y,z'
loop_
_atom_site_label
_atom_site_type_symbol
_atom_site_fract_x
_atom_site_fract_y
_atom_site_fract_z
_atom_site_occupancy
Dy1 Dy 0.000 0.000 0.000 1
Dy2 Dy 0.000 0.000 0.500 1
Dy3 Dy 0.500 0.500 0.000 1
Tm1 Tm 0.000 0.500 0.251 1
Tm2 Tm 0.500 0.500 0.500 1
In1 In 0.500 0.000 0.251 1
```

two) This record from Alexandria describes a relaxed Dy3Tm3In2 crystal. The functional is PBE.

total magnetic moment = 0.00 μB/f.u.
crystal system = orthorhombic

```
data_Dy3Tm3In2
_cell_length_a 5.138
_cell_length_b 11.715
_cell_length_c 15.655
_cell_angle_alpha 90.00
_cell_angle_beta 90.00
_cell_angle_gamma 90.00
_space_group_name_H-M_alt 'C m c m'
_space_group_IT_number 63
_space_group_name_Hall '-C 2c 2'
loop_
_atom_site_label
_atom_site_type_symbol
_atom_site_fract_x
_atom_site_fract_y
_atom_site_fract_z
_atom_site_occupancy
Dy1 Dy 0.000 0.032 0.250 1
Dy2 Dy 0.000 0.143 0.531 1
Tm1 Tm 0.000 0.251 0.750 1
Tm2 Tm 0.000 0.459 0.602 1
In1 In 0.000 0.278 0.145 1
```

Least stable: two)

one) This record from Alexandria describes a relaxed DyTm4In crystal. The functional is PBE.

total magnetic moment = 0.00 μB/f.u.
crystal system = tetragonal

```
data_DyTm4In
_cell_length_a 3.522
_cell_length_b 3.522
_cell_length_c 14.050
_cell_angle_alpha 90.00
_cell_angle_beta 90.00
_cell_angle_gamma 90.00
_space_group_name_H-M_alt 'P 4/m m m'
_space_group_IT_number 123
_space_group_name_Hall '-P 4 2'
loop_
_atom_site_label
_atom_site_type_symbol
_atom_site_fract_x
_atom_site_fract_y
_atom_site_fract_z
_atom_site_occupancy
Dy1 Dy 0.000 0.000 0.000 1
Tm1 Tm 0.000 0.000 0.351 1
Tm2 Tm 0.500 0.500 0.177 1
In1 In 0.500 0.500 0.500 1
```

two) This record from Alexandria describes a relaxed DyTm4In crystal. The functional is PBE.

total magnetic moment = 0.00 μB/f.u.
crystal system = orthorhombic

```
data_DyTm4In
_cell_length_a 4.836
_cell_length_b 14.554
_cell_length_c 9.757
_cell_angle_alpha 90.00
_cell_angle_beta 90.00
_cell_angle_gamma 90.00
_space_group_name_H-M_alt 'C m c 21'
_space_group_IT_number 36
loop_
_space_group_symop_operation_xyz
'x,y,z'
'-x,-y,z+1/2'
'-x,y,z'
'x,-y,z+1/2'
'x+1/2,y+1/2,z'
'-x+1/2,-y+1/2,z+1/2'
'-x+1/2,y+1/2,z'
'x+1/2,-y+1/2,z+1/2'
loop_
_atom_site_label
_atom_site_type_symbol
_atom_site_fract_x
_atom_site_fract_y
_atom_site_fract_z
_atom_site_occupancy
Dy1 Dy 0.000 0.167 0.000 1
Tm1 Tm 0.000 0.003 0.257 1
Tm2 Tm 0.000 0.166 0.513 1
Tm3 Tm 0.000 0.328 0.257 1
Tm4 Tm 0.000 0.500 0.007 1
In1 In 0.000 0.335 0.757 1
```

Least stable: two)

one) This record from Alexandria describes a relaxed Dy3TmIn2 crystal. The functional is PBE.

total magnetic moment = 0.00 μB/f.u.
crystal system = orthorhombic

```
data_Dy3TmIn2
_cell_length_a 3.384
_cell_length_b 5.666
_cell_length_c 18.579
_cell_angle_alpha 90.00
_cell_angle_beta 90.00
_cell_angle_gamma 90.00
_space_group_name_H-M_alt 'I m m m'
_space_group_IT_number 71
_space_group_name_Hall '-I 2 2'
loop_
_atom_site_label
_atom_site_type_symbol
_atom_site_fract_x
_atom_site_fract_y
_atom_site_fract_z
_atom_site_occupancy
Dy1 Dy 0.000 0.000 0.000 1
Dy2 Dy 0.000 0.500 0.185 1
Tm1 Tm 0.000 0.500 0.000 1
In1 In 0.000 0.500 0.353 1
```

two) This record from Alexandria describes a relaxed Dy3TmIn2 crystal. The functional is PBE.

total magnetic moment = 0.00 μB/f.u.
crystal system = orthorhombic

```
data_Dy3TmIn2
_cell_length_a 5.160
_cell_length_b 9.797
_cell_length_c 6.691
_cell_angle_alpha 90.00
_cell_angle_beta 90.00
_cell_angle_gamma 90.00
_space_group_name_H-M_alt 'P m c 21'
_space_group_IT_number 26
loop_
_space_group_symop_operation_xyz
'x,y,z'
'-x,-y,z+1/2'
'-x,y,z'
'x,-y,z+1/2'
loop_
_atom_site_label
_atom_site_type_symbol
_atom_site_fract_x
_atom_site_fract_y
_atom_site_fract_z
_atom_site_occupancy
Dy1 Dy 0.000 0.035 0.000 1
Dy2 Dy 0.000 0.321 0.351 1
Dy3 Dy 0.500 0.183 0.722 1
Tm1 Tm 0.500 0.463 0.072 1
In1 In 0.000 0.358 0.828 1
In2 In 0.500 0.142 0.245 1
```

Least stable: one)

one) This record from Alexandria describes a relaxed Dy2Tm3In crystal. The functional is PBE.

total magnetic moment = 0.00 μB/f.u.
crystal system = orthorhombic

```
data_Dy2Tm3In
_cell_length_a 15.329
_cell_length_b 9.373
_cell_length_c 5.366
_cell_angle_alpha 90.00
_cell_angle_beta 90.00
_cell_angle_gamma 90.00
_space_group_name_H-M_alt 'C m c m'
_space_group_IT_number 63
_space_group_name_Hall '-C 2c 2'
loop_
_atom_site_label
_atom_site_type_symbol
_atom_site_fract_x
_atom_site_fract_y
_atom_site_fract_z
_atom_site_occupancy
Dy1 Dy 0.102 0.112 0.250 1
Tm1 Tm 0.000 0.419 0.250 1
Tm2 Tm 0.245 0.378 0.250 1
In1 In 0.000 0.228 0.750 1
```

two) This record from Alexandria describes a relaxed Dy2Tm3In crystal. The functional is PBE.

total magnetic moment = 0.00 μB/f.u.
crystal system = orthorhombic

```
data_Dy2Tm3In
_cell_length_a 4.813
_cell_length_b 14.901
_cell_length_c 4.839
_cell_angle_alpha 90.00
_cell_angle_beta 90.00
_cell_angle_gamma 90.00
_space_group_name_H-M_alt 'C m m m'
_space_group_IT_number 65
_space_group_name_Hall '-C 2 2'
loop_
_atom_site_label
_atom_site_type_symbol
_atom_site_fract_x
_atom_site_fract_y
_atom_site_fract_z
_atom_site_occupancy
Dy1 Dy 0.000 0.162 0.000 1
Tm1 Tm 0.000 0.000 0.500 1
Tm2 Tm 0.000 0.332 0.500 1
In1 In 0.000 0.500 0.000 1
```

Least stable: one)

one) This record from Alexandria describes a relaxed DyTm3In crystal. The functional is PBE.

total magnetic moment = 0.00 μB/f.u.
crystal system = orthorhombic

```
data_DyTm3In
_cell_length_a 5.263
_cell_length_b 8.469
_cell_length_c 6.707
_cell_angle_alpha 90.00
_cell_angle_beta 90.00
_cell_angle_gamma 90.00
_space_group_name_H-M_alt 'P m m n'
_space_group_IT_number 59
loop_
_space_group_symop_operation_xyz
'x,y,z'
'-x,-y,-z'
'-x+1/2,-y+1/2,z'
'x+1/2,y+1/2,-z'
'x+1/2,-y,-z'
'-x+1/2,y,z'
'-x,y+1/2,-z'
'x,-y+1/2,z'
loop_
_atom_site_label
_atom_site_type_symbol
_atom_site_fract_x
_atom_site_fract_y
_atom_site_fract_z
_atom_site_occupancy
Dy1 Dy 0.250 0.250 0.059 1
Tm1 Tm 0.250 0.559 0.729 1
Tm2 Tm 0.250 0.750 0.213 1
In1 In 0.250 0.250 0.498 1
```

two) This record from Alexandria describes a relaxed DyTm3In crystal. The functional is PBE.

total magnetic moment = 0.00 μB/f.u.
crystal system = orthorhombic

```
data_DyTm3In
_cell_length_a 4.766
_cell_length_b 24.910
_cell_length_c 4.760
_cell_angle_alpha 90.00
_cell_angle_beta 90.00
_cell_angle_gamma 90.00
_space_group_name_H-M_alt 'C m c m'
_space_group_IT_number 63
_space_group_name_Hall '-C 2c 2'
loop_
_atom_site_label
_atom_site_type_symbol
_atom_site_fract_x
_atom_site_fract_y
_atom_site_fract_z
_atom_site_occupancy
Dy1 Dy 0.000 0.149 0.250 1
Tm1 Tm 0.000 0.048 0.750 1
Tm2 Tm 0.000 0.250 0.750 1
Tm3 Tm 0.000 0.448 0.750 1
In1 In 0.000 0.348 0.250 1
```

Least stable: one)